VASP calculation (PBE) on a relaxed structure of La2Zn2O5.

Geometry as POSCAR:
```
La2Zn2O5
1.0
5.6744 0.0000 0.0000
0.0000 15.8914 0.0000
0.0000 0.0000 5.7430
La Zn O
8 8 20
direct
0.0421 0.1145 0.0117
0.0421 0.3855 0.0117
0.4579 0.6145 0.5117
0.4579 0.8855 0.5117
0.5421 0.1145 0.4883
0.5421 0.3855 0.4883
0.9579 0.6145 0.9883
0.9579 0.8855 0.9883
0.0000 0.0000 0.5000
0.0000 0.5000 0.5000
0.0484 0.2500 0.5499
0.4516 0.7500 0.0499
0.5000 0.0000 0.0000
0.5000 0.5000 0.0000
0.5484 0.2500 0.9501
0.9516 0.7500 0.4501
0.0413 0.6420 0.5904
0.0413 0.8580 0.5904
0.1013 0.7500 0.1239
0.2021 0.5201 0.2005
0.2021 0.9799 0.2005
0.2979 0.0201 0.7005
0.2979 0.4799 0.7005
0.3987 0.2500 0.6239
0.4587 0.1420 0.0904
0.4587 0.3580 0.0904
0.5413 0.6420 0.9096
0.5413 0.8580 0.9096
0.6013 0.7500 0.3761
0.7021 0.5201 0.2995
0.7021 0.9799 0.2995
0.7979 0.0201 0.7995
0.7979 0.4799 0.7995
0.8987 0.2500 0.8761
0.9587 0.1420 0.4096
0.9587 0.3580 0.4096
```

Summary:
Formation energy from raw total energies in eV per atom: -2.48
Symmetry: No. 62
Final energy in eV per atom: -6.614
Density of states at the Fermi level in states/eV/atom: 0.000